[1]
Compound: Ge2BiAu
Source: Alexandria via LeMat-Bulk
Functional: GGA-PBE
Structure: relaxed

a b c (Å): 7.068 7.068 7.068
angles (deg): 33.02 33.02 33.02
Fractional positions:
Ge 0.234 0.234 0.234
Ge 0.766 0.766 0.766
Bi 0.000 0.000 0.000
Au 0.500 0.500 0.500

Output
The value obtained for the calculated formation energy is 12.89 kJ per mole of atoms. The calculation puts the total DFT energy (no corrections) at -15.86 eV/cell.

=====

[2]
Compound: Ge2BiAu
Source: Alexandria via LeMat-Bulk
Functional: GGA-PBE
Structure: relaxed

a b c (Å): 6.957 6.957 6.957
angles (deg): 34.29 34.29 34.29
Fractional positions:
Ge 0.000 0.000 0.000
Ge 0.203 0.203 0.203
Bi 0.436 0.436 0.436
Au 0.603 0.603 0.603

Output
The value obtained for the calculated formation energy is 13.88 kJ per mole of atoms. The calculation puts the total DFT energy (no corrections) at -15.82 eV/cell.

=====

[3]
Compound: GeBi2Au6
Source: Alexandria via LeMat-Bulk
Functional: GGA-PBE
Structure: relaxed

a b c (Å): 6.164 6.164 5.840
angles (deg): 90.05 90.05 60.01
Fractional positions:
Ge 0.000 0.000 0.000
Bi 0.333 0.333 0.174
Bi 0.667 0.667 0.826
Au 0.178 0.178 0.687
Au 0.178 0.643 0.686
Au 0.357 0.822 0.314
Au 0.643 0.178 0.686
Au 0.822 0.357 0.314
Au 0.822 0.822 0.313

Output
The value obtained for the calculated formation energy is 2.36 kJ per mole of atoms. The calculation puts the total DFT energy (no corrections) at -31.82 eV/cell.

=====

total DFT energy (no corrections) of number 1 (Ge2BiAu)? -15.86 eV/cell